# 1
KHgBr2: relaxed, PBE-GGA.

**Raw formation energy**: -0.802 eV/atom
**Energy**: -7.951 eV for the cell shown
**DOS(E_F)**: 2.6 states/eV/f.u.
**Symmetry**: P4/mmm (123)
**Excess energy over the best structure of this formula in the dataset**: 0.164 eV/atom

Unit cell a=3.974 b=3.974 c=7.655 alpha=90.00 beta=90.00 gamma=90.00
Fractional coordinates of all 4 atoms:
Br 0.000 0.000 0.010
Br 0.000 0.000 0.490
Hg 0.500 0.500 0.250
K 0.500 0.500 0.750

# 2
ErBeNi: relaxed, PBE-GGA.

**Formation energy from the elements**: 0 meV/atom
**Energy**: -56.276 eV for the cell shown
**DOS(E_F)**: 2.1 states/eV/f.u.
**Symmetry**: P4_12_12 (92)
**Excess energy over the best structure of this formula in the dataset**: 0.299 eV/atom

Unit cell a=6.274 b=6.274 c=5.445 alpha=90.00 beta=90.00 gamma=90.00
Fractional coordinates of all 12 atoms:
Ni 0.345 0.345 0.000
Ni 0.655 0.655 0.500
Ni 0.155 0.845 0.250
Ni 0.845 0.155 0.750
Be 0.601 0.399 0.750
Be 0.899 0.899 0.500
Be 0.101 0.101 0.000
Be 0.399 0.601 0.250
Er 0.722 0.278 0.250
Er 0.778 0.778 0.000
Er 0.222 0.222 0.500
Er 0.278 0.722 0.750

# 3
NpCuCl6: relaxed, PBE-GGA.

**Raw formation energy**: -1.205 eV/atom
**Energy**: -37.759 eV for the cell shown
**DOS(E_F)**: 9.1 states/eV/f.u.
**Symmetry**: C2/m (12)
**Excess energy over the best structure of this formula in the dataset**: 0.000 eV/atom

Unit cell a=6.604 b=6.606 c=6.897 alpha=61.34 beta=78.40 gamma=65.25
Each line ends with the local moment (μB).
Fractional coordinates of all 8 atoms:
Np 0.000 0.000 0.000  2.77
Cu 0.500 0.500 0.000  -0.28
Cl 0.732 0.414 0.712  -0.08
Cl 0.731 0.126 0.288  -0.08
Cl 0.269 0.874 0.712  -0.08
Cl 0.268 0.586 0.288  -0.08
Cl 0.775 0.776 0.000  -0.08
Cl 0.225 0.224 0.000  -0.08

# 4
BaZnHg3: relaxed, PBE-GGA.

**Formation energy from the elements**: -242 meV/atom
**Energy**: -5.314 eV for the cell shown
**DOS(E_F)**: 2.9 states/eV/f.u.
**Symmetry**: Pm-3m (221)
**Excess energy over the best structure of this formula in the dataset**: 0.078 eV/atom

Unit cell a=5.326 b=5.326 c=5.326 alpha=90.00 beta=90.00 gamma=90.00
Fractional coordinates of all 5 atoms:
Zn 0.000 0.000 0.000
Hg 0.000 0.500 0.000
Hg 0.000 0.000 0.500
Hg 0.500 0.000 0.000
Ba 0.500 0.500 0.500